1.
PBE BeTeS2, relaxed; energy relative to the elements, uncorrected = 0.65 eV per atom; space group = Fm-3m, No. 225; calculated total energy = -3.127 eV/atom; DOS at the Fermi energy = 2.2 states/eV/cell; density = 4.82 Mg/m³; polymorph energy (0 for the lowest one) = 827.1 meV per atom
1.0
0.000 3.258 3.258
3.258 0.000 3.258
3.258 3.258 0.000
Be S Te
1 2 1
Direct
0.000 0.000 0.000
0.250 0.250 0.250
0.750 0.750 0.750
0.500 0.500 0.500

---

2.
PBE BeTeS2, relaxed; energy relative to the elements, uncorrected = -0.17 eV per atom; space group = R-3m, No. 166; calculated total energy = -3.954 eV/atom; DOS at the Fermi energy = 1.8 states/eV/cell; density = 4.37 Mg/m³; polymorph energy (0 for the lowest one) = 0.0 meV per atom
1.0
6.669 -3.632 1.323
7.671 -0.728 -0.219
6.996 -0.739 3.151
Be S Te
1 2 1
Direct
0.500 0.500 0.500
0.885 0.885 0.885
0.115 0.115 0.115
0.000 0.000 0.000

---

3.
PBE BeTeS3, relaxed; energy relative to the elements, uncorrected = 0.26 eV per atom; space group = Pm-3m, No. 221; calculated total energy = -3.591 eV/atom; DOS at the Fermi energy = 3.7 states/eV/cell; density = 4.57 Mg/m³; polymorph energy (0 for the lowest one) = 0.0 meV per atom
1.0
-0.219 -1.982 -3.912
-3.245 -2.561 1.479
-2.949 2.965 -1.337
Be S Te
1 3 1
Direct
0.000 0.000 0.000
0.000 0.500 0.000
0.000 0.000 0.500
0.500 0.000 0.000
0.500 0.500 0.500

---

4.
PBE Be2Te2S, relaxed; energy relative to the elements, uncorrected = 0.53 eV per atom; space group = P4/mbm, No. 127; calculated total energy = -3.045 eV/atom; DOS at the Fermi energy = 7.0 states/eV/cell; density = 5.64 Mg/m³; polymorph energy (0 for the lowest one) = 529.3 meV per atom
1.0
-0.408 3.028 -6.426
0.792 -6.377 -3.055
-3.525 -0.445 0.014
Be S Te
4 2 4
Direct
0.379 0.879 0.000
0.879 0.621 0.000
0.621 0.121 0.000
0.121 0.379 0.000
0.000 0.000 0.000
0.500 0.500 0.000
0.166 0.666 0.500
0.666 0.834 0.500
0.834 0.334 0.500
0.334 0.166 0.500

---

Please write out number 2 again, unchanged.
PBE BeTeS2, relaxed; energy relative to the elements, uncorrected = -0.17 eV per atom; space group = R-3m, No. 166; calculated total energy = -3.954 eV/atom; DOS at the Fermi energy = 1.8 states/eV/cell; density = 4.37 Mg/m³; polymorph energy (0 for the lowest one) = 0.0 meV per atom
1.0
6.669 -3.632 1.323
7.671 -0.728 -0.219
6.996 -0.739 3.151
Be S Te
1 2 1
Direct
0.500 0.500 0.500
0.885 0.885 0.885
0.115 0.115 0.115
0.000 0.000 0.000